# 1
## NbV6Pt (PBE)

Data for a relaxed structure of NbV6Pt.

Cell lengths 5.2308, 5.1275, 5.1275 Å; angles 119.36, 96.09, 96.09 degrees
Positions (direct):
Nb: 0.0000 0.0000 0.0000
V: 0.7569 0.0195 0.5138
V: 0.7569 0.5138 0.0195
V: 0.2431 0.4862 0.9805
V: 0.2431 0.9805 0.4862
V: 0.7591 0.5125 0.5125
V: 0.2409 0.4875 0.4875
Pt: 0.5000 0.0000 0.0000

magnetic moment: 0.00 μB per formula unit
DOS(E_F): 7.7 states/eV/cell
formation energy: -1 meV per atom
volume: 117.18 Å³ per cell

=====

# 2
## Nb2VPt (PBE)

Data for a relaxed structure of Nb2VPt.

Cell lengths 3.2216, 3.2216, 6.3376 Å; angles 90.00, 90.00, 90.00 degrees
Positions (direct):
Nb: 0.0000 0.0000 0.7657
Nb: 0.0000 0.0000 0.2343
Pt: 0.5000 0.5000 0.5000
V: 0.5000 0.5000 0.0000

magnetic moment: 0.00 μB per formula unit
excess energy over the best structure of this formula in the dataset: 0 meV/atom
DOS(E_F): 4.1 states/eV/cell
formation energy: -287 meV per atom
volume: 65.78 Å³ per cell

=====

# 3
## Nb6VPt2 (PBE)

Data for a relaxed structure of Nb6VPt2.

Cell lengths 5.0713, 6.5166, 5.2650 Å; angles 102.47, 92.33, 70.07 degrees
Positions (direct):
Nb: 0.7408 0.0110 0.5017
Nb: 0.2592 0.9890 0.4983
Nb: 0.2443 0.5217 0.6357
Nb: 0.4060 0.2171 0.0661
Nb: 0.5940 0.7829 0.9339
Nb: 0.7557 0.4783 0.3643
V: 0.0000 0.0000 0.0000
Pt: 0.8556 0.3517 0.8359
Pt: 0.1444 0.6483 0.1641

magnetic moment: 0.00 μB per formula unit
DOS(E_F): 8.6 states/eV/cell
formation energy: -205 meV per atom
volume: 159.61 Å³ per cell

=====

VASP energy readings, ordered: -8.854; -9.111; -9.273 eV/atom